Density functional theory data (PBE) for an optimized crystal structure of Pm9Er4In11.

Unit cell a=3.516 b=13.964 c=13.964 alpha=99.65 beta=90.00 gamma=90.00
Element x y z (fractional)
Pm1 0.500 0.626 0.143
Pm2 0.500 0.374 0.857
Pm3 0.500 0.143 0.626
Pm4 0.500 0.857 0.374
Pm5 0.500 0.791 0.965
Pm6 0.500 0.209 0.035
Pm7 0.500 0.965 0.791
Pm8 0.500 0.035 0.209
Pm9 0.500 0.500 0.500
Er1 0.500 0.568 0.736
Er2 0.500 0.432 0.264
Er3 0.500 0.736 0.568
Er4 0.500 0.264 0.432
In1 0.000 0.579 0.931
In2 0.000 0.421 0.069
In3 0.000 0.931 0.579
In4 0.000 0.069 0.421
In5 0.000 0.635 0.365
In6 0.000 0.365 0.635
In7 0.000 0.833 0.167
In8 0.000 0.167 0.833
In9 0.000 0.000 0.000
In10 0.000 0.761 0.761
In11 0.000 0.239 0.239

Summary:
**Formation energy**: -9.67 eV per formula unit
**D(E_F)**: 0.85 states/eV/atom
**Total DFT energy (no corrections)**: -4.20 eV/atom
**Total magnetic moment**: 0.00 μB per cell